(1)
4
Lattice="-2.488 -0.505 1.015 -0.186 -2.232 -1.568 3.752 -5.019 6.702" Properties=species:S:1:pos:R:3 comment="CaCuMo2 PBE-GGA optimized geometry" magmom_total_mub_per_cell=0.000 rho_g_cm3=7.15 formation_enthalpy_0k_ev_per_atom=0.5266 de_polymorph_ev_per_fu=0.75 spacegroup=P4mm pbc="T T T"
Mo -0.477 -2.520 1.261
Ca 1.938 -2.593 3.463
Cu 1.569 -5.256 4.914
Mo 3.675 -4.916 6.564

---

(2)
14
Lattice="7.427 0.000 0.000 3.713 6.466 0.034 3.713 2.002 6.148" Properties=species:S:1:pos:R:3 comment="MgZnSnS4 PBE-GGA optimized geometry" magmom_total_mub_per_cell=0.000 formation_energy_uncorrected_ev_per_atom=-0.774 rho_g_cm3=3.79 spacegroup=Imma pbc="T T T"
S 7.427 1.976 1.595
S 11.140 6.356 4.487
Zn 7.427 4.354 5.522
Sn 0.000 0.000 0.000
S 9.326 5.373 1.580
S 5.528 5.373 1.580
Mg 1.857 1.001 3.074
Mg 5.570 1.001 3.074
Sn 3.713 4.234 3.091
S 5.528 3.094 4.602
S 7.427 6.492 4.587
S 3.713 2.112 1.695
S 9.326 3.094 4.602
Zn 7.427 4.114 0.660

---

(3)
18
Lattice="5.347 0.000 0.000 -2.674 10.005 0.000 0.000 0.000 10.478" Properties=species:S:1:pos:R:3 comment="Tb2PmEr5In PBE-GGA optimized geometry" magmom_total_mub_per_cell=0.001 rho_g_cm3=8.38 formation_enthalpy_0k_ev_per_atom=-0.0051 spacegroup=Cmcm pbc="T T T"
Tb 2.674 7.678 2.272
Er 0.000 10.003 7.943
Pm 2.674 5.825 5.326
Er 2.674 9.776 5.326
Er 0.000 0.229 0.087
Tb 0.000 2.327 7.511
In 2.674 1.897 0.082
Er 0.000 5.804 3.219
Pm 0.000 4.180 0.087
Er 0.000 5.811 7.434
Tb 2.674 7.681 8.380
Tb 0.000 2.324 3.141
Er 2.674 4.200 8.458
Er 2.674 0.001 2.704
Er 2.674 4.194 2.195
Er 2.674 2.274 5.326
Er 0.000 7.730 0.086
In 0.000 8.108 5.322

---

(4)
12
Lattice="7.098 0.522 0.003 -0.540 7.114 0.012 -3.277 -3.806 7.146" Properties=species:S:1:pos:R:3 comment="La4NiRh PBE-GGA optimized geometry" magmom_total_mub_per_cell=0.000 rho_g_cm3=6.56 formation_enthalpy_0k_ev_per_atom=-0.3283 de_polymorph_ev_per_fu=0.37 spacegroup=P-1 pbc="T T T"
La 3.536 5.591 0.309
Rh 5.325 0.393 1.955
La -0.121 1.213 3.898
Ni 1.776 0.143 5.627
La -0.255 -1.761 6.852
La -3.291 1.521 6.855
La 3.402 2.617 3.263
La -0.389 4.769 3.266
Rh -2.043 3.437 5.206
Ni 1.505 3.687 1.534
La 3.670 -0.939 3.895
La 6.572 2.308 0.306

---

(5)
11
Lattice="-5.360 -2.079 -2.633 6.023 -4.746 -0.920 -3.361 -1.618 8.120" Properties=species:S:1:pos:R:3 comment="Ce5SmSb5 PBE-GGA optimized geometry" magmom_total_mub_per_cell=6.543 formation_energy_uncorrected_ev_per_atom=-0.846 rho_g_cm3=6.42 spacegroup=C2/m pbc="T T T"
Sb -2.690 -5.973 2.601
Sb -0.007 -2.471 1.966
Ce -0.018 -4.929 3.930
Ce -2.680 -3.514 0.638
Sm 0.000 0.000 0.000
Ce -1.680 -0.809 4.060
Ce -4.372 -4.305 4.707
Sb -2.680 -1.040 -1.316
Sb -1.018 -5.151 -1.453
Sb -1.680 -3.293 6.020
Ce 1.674 -4.138 -0.140

---

(6)
16
Lattice="-2.853 -3.820 -1.472 4.403 -1.833 4.678 -10.120 3.379 10.849" Properties=species:S:1:pos:R:3 comment="Tl3Sn2Hg3 PBE-GGA optimized geometry" magmom_total_mub_per_cell=0.000 rho_g_cm3=10.25 formation_enthalpy_0k_ev_per_atom=0.0268 de_polymorph_ev_per_fu=0.05 spacegroup=Cmcm pbc="T T T"
Hg -5.525 -1.184 5.323
Tl -2.754 -3.833 6.825
Tl -5.481 -0.117 10.929
Tl -0.036 -4.740 3.912
Hg -0.998 -2.695 0.471
Sn -8.671 -1.107 11.222
Hg -3.045 -1.090 8.732
Tl -3.089 -2.157 3.126
Tl -8.534 2.466 10.142
Sn -5.863 -2.044 8.212
Hg -0.204 -2.081 5.793
Sn -2.707 -0.230 5.843
Sn 0.101 -1.167 2.832
Hg -7.571 0.421 13.584
Tl -5.816 1.559 7.229
Hg -8.366 -0.194 8.262